Entry 1:
First-principles (PBE) data for a relaxed K3Tl2Cd4Au2 crystal, as listed in Alexandria via LeMat-Bulk.

Output
D(E_F) = 0.3824 states/eV/atom
energy = -0.0649 Ha/atom
total magnetization = 0.0000 μB per atom

abc: 4.9311 4.9311 17.4110
angles: 90.00 90.00 120.00
Last column: nearest neighbours and their distance in Å.
Space group P-3m1 (No. 164)
Unique sites:
K (0.0000, 0.0000, 0.0000) x1  6 Cd 3.56, 6 Au 3.59
K (0.0000, 0.0000, 0.2522) x2  3 Au 3.60, 6 Cd 3.61-3.64
Tl (0.3333, 0.6667, 0.5621) x2  4 Cd 3.02-3.17
Cd (0.3333, 0.6667, 0.3801) x2  4 Tl 3.02-3.17
Cd (0.3333, 0.6667, 0.8776) x2  3 Au 2.85
Au (0.3333, 0.6667, 0.1253) x2  3 Cd 2.85

---

Entry 2:
First-principles (PBE) data for a relaxed CaHo2Ga6 crystal, as listed in Alexandria via LeMat-Bulk.

Output
D(E_F) = 0.4086 states/eV/atom
energy above the most stable polymorph in this dataset = 0.000 eV per atom
energy = -0.1405 Ha/atom
total magnetization = 0.0000 μB per atom

abc: 7.3229 7.3229 4.1671
angles: 90.00 90.00 120.00
Last column: nearest neighbours and their distance in Å.
Space group P6/mmm (No. 191)
Unique sites:
Ca (0.0000, 0.0000, 0.0000) x1  12 Ga 3.22
Ho (0.3333, 0.6667, 0.0000) x2  12 Ga 3.20
Ga (0.0000, 0.3354, 0.5000) x6  3 Ga 2.41-2.46

---

Entry 3:
First-principles (PBE) data for a relaxed RhAu crystal, as listed in Alexandria via LeMat-Bulk.

Output
D(E_F) = 0.9302 states/eV/atom
energy = -0.1906 Ha/atom
total magnetization = 0.0000 μB per atom

abc: 2.8139 2.8139 9.4622
angles: 90.00 90.00 120.00
Last column: nearest neighbours and their distance in Å.
Space group P-3m1 (No. 164)
Unique sites:
Rh (0.3333, 0.6667, 0.3905) x2  9 Rh 2.63-2.81, 3 Au 2.90
Au (0.3333, 0.6667, 0.8638) x2  9 Au 2.81-3.05, 3 Rh 2.90

---

Entry 4:
First-principles (PBE) data for a relaxed PtAuIN2 crystal, as listed in Alexandria via LeMat-Bulk.

Output
D(E_F) = 0.8197 states/eV/atom
ΔE_f (raw) = 1.735 eV per atom
energy above the most stable polymorph in this dataset = 0.619 eV per atom
energy = -0.1385 Ha/atom
total magnetization = 0.6657 μB per atom

abc: 3.9304 3.9304 8.6002
angles: 90.00 90.00 90.00
Last column: nearest neighbours and their distance in Å.
Space group P4/mmm (No. 123)
Unique sites:
Pt (0.0000, 0.0000, 0.0000) x1  4 I 2.78
Au (0.5000, 0.5000, 0.5000) x1  4 N 1.97
I (0.5000, 0.5000, 0.0000) x1  4 Pt 2.78
N (0.0000, 0.5000, 0.5000) x2  2 Au 1.97

---

Entry 5:
First-principles (PBE) data for a relaxed CrAg2Os crystal, as listed in Alexandria via LeMat-Bulk.

Output
D(E_F) = 0.9695 states/eV/atom
energy above the most stable polymorph in this dataset = 0.466 eV per atom
energy = -0.2153 Ha/atom
total magnetization = 0.0661 μB per atom

abc: 2.7868 4.5510 9.7971
angles: 90.00 90.00 90.00
Last column: nearest neighbours and their distance in Å.
Space group Cmmm (No. 65)
Unique sites:
Cr (0.0000, 0.0000, 0.0000) x2  6 Cr 2.67-2.79, 4 Ag 2.75
Ag (0.0000, 0.5000, 0.2422) x4  6 Ag 2.67-2.79, 2 Cr 2.75, 2 Os 2.88
Os (0.0000, 0.0000, 0.5000) x2  6 Os 2.67-2.79, 4 Ag 2.88

---

Entry 6:
First-principles (PBE) data for a relaxed Sm2AgPd crystal, as listed in Alexandria via LeMat-Bulk.

Output
D(E_F) = 0.5829 states/eV/atom
energy above the most stable polymorph in this dataset = 0.141 eV per atom
energy = -0.1758 Ha/atom
total magnetization = 0.0000 μB per atom

abc: 4.1779 4.1779 21.7662
angles: 90.00 90.00 120.00
Last column: nearest neighbours and their distance in Å.
Space group R3m (No. 160, hexagonal axes)
Unique sites:
Sm (0.0000, 0.0000, 0.0000) x3  3 Pd 2.92, 3 Ag 3.17
Sm (0.0000, 0.0000, 0.1855) x3  3 Pd 2.88, 3 Ag 3.12
Ag (0.0000, 0.0000, 0.4277) x3  6 Sm 3.12-3.17
Pd (0.0000, 0.0000, 0.5913) x3  6 Sm 2.88-2.92

---

Entry 7:
First-principles (PBE) data for a relaxed UBePbO5 crystal, as listed in Alexandria via LeMat-Bulk.

Output
D(E_F) = 0.0000 states/eV/atom
ΔE_f (raw) = -2.452 eV per atom
energy = -0.2900 Ha/atom
total magnetization = 0.0000 μB per atom

abc: 7.0066 9.1840 7.9241
angles: 90.00 114.72 90.00
Last column: nearest neighbours and their distance in Å.
Space group C2/c (No. 15)
Unique sites:
U (0.0000, 0.0000, 0.0000) x4  6 O 2.08-2.11
Be (0.0000, 0.3114, 0.2500) x4  4 O 1.70
Pb (0.0000, 0.3463, 0.7500) x4  5 O 2.46-2.66
O (0.0000, 0.0787, 0.7500) x4  2 U 2.11
O (0.0893, 0.2041, 0.1232) x8  1 Be 1.70
O (0.1900, 0.4265, 0.3922) x8  1 Be 1.70

---

Entry 8:
First-principles (PBE) data for a relaxed PuHfNpPt crystal, as listed in Alexandria via LeMat-Bulk.

Output
D(E_F) = 2.6031 states/eV/atom
energy = -0.4025 Ha/atom
total magnetization = 2.2618 μB per atom

abc: 6.8718 6.8718 6.8718
angles: 90.00 90.00 90.00
Last column: nearest neighbours and their distance in Å.
Space group F-43m (No. 216)
Unique sites:
Pu (0.0000, 0.0000, 0.0000) x4  4 Pt 2.98, 4 Np 2.98
Hf (0.0000, 0.0000, 0.5000) x4  4 Np 2.98, 4 Pt 2.98
Np (0.2500, 0.2500, 0.7500) x4  4 Hf 2.98, 4 Pu 2.98
Pt (0.2500, 0.2500, 0.2500) x4  4 Hf 2.98, 4 Pu 2.98

---

Entry 9:
First-principles (PBE) data for a relaxed Li2CuIrN crystal, as listed in Alexandria via LeMat-Bulk.

Output
D(E_F) = 0.1971 states/eV/atom
ΔE_f (raw) = -0.176 eV per atom
energy = -0.1910 Ha/atom
total magnetization = 0.0000 μB per atom

abc: 3.9862 3.9862 3.7855
angles: 90.00 90.00 90.00
Last column: nearest neighbours and their distance in Å.
Space group P4/mmm (No. 123)
Unique sites:
Li (0.0000, 0.5000, 0.0000) x2  2 N 1.99
Cu (0.0000, 0.0000, 0.5000) x1  8 Li 2.75, 4 Ir 2.82
Ir (0.5000, 0.5000, 0.5000) x1  2 N 1.89
N (0.5000, 0.5000, 0.0000) x1  2 Ir 1.89, 4 Li 1.99

---

Entry 10:
First-principles (PBE) data for a relaxed HgHPd2Rh crystal, as listed in Alexandria via LeMat-Bulk.

Output
D(E_F) = 1.0588 states/eV/atom
energy = -0.1583 Ha/atom
total magnetization = 0.0000 μB per atom

abc: 4.1187 4.1187 3.9819
angles: 90.00 90.00 90.00
Last column: nearest neighbours and their distance in Å.
Space group P4/mmm (No. 123)
Unique sites:
Hg (0.0000, 0.0000, 0.0000) x1  8 Pd 2.86, 4 Rh 2.91
H (0.5000, 0.5000, 0.5000) x1  2 Rh 1.99, 4 Pd 2.06
Pd (0.0000, 0.5000, 0.5000) x2  2 H 2.06
Rh (0.5000, 0.5000, 0.0000) x1  2 H 1.99

---

Entry 11:
First-principles (PBE) data for a relaxed SrCuTe2 crystal, as listed in Alexandria via LeMat-Bulk.

Output
D(E_F) = 0.2382 states/eV/atom
ΔE_f (raw) = -0.699 eV per atom
energy = -0.1365 Ha/atom
total magnetization = 0.0000 μB per atom

abc: 4.4766 4.0145 7.0389
angles: 90.00 90.28 90.00
Last column: nearest neighbours and their distance in Å.
Space group P2/m (No. 10)
Unique sites:
Sr (0.0000, 0.0000, 0.0000) x1  8 Te 3.49
Cu (0.5000, 0.0000, 0.5000) x1  4 Te 2.66
Te (0.4986, 0.5000, 0.7479) x2  2 Cu 2.66

---

Entry 12:
First-principles (PBE) data for a relaxed NdB12 crystal, as listed in Alexandria via LeMat-Bulk.

Output
D(E_F) = 0.3530 states/eV/atom
energy = -0.2471 Ha/atom
total magnetization = 0.0000 μB per atom

abc: 7.5787 7.5787 7.5787
angles: 90.00 90.00 90.00
Last column: nearest neighbours and their distance in Å.
Space group Fm-3m (No. 225)
Unique sites:
Nd (0.0000, 0.0000, 0.0000) x4  24 B 2.82
B (0.0000, 0.1683, 0.3317) x48  5 B 1.75-1.80

---

Entry 13:
First-principles (PBE) data for a relaxed Tb6Hg3Ir crystal, as listed in Alexandria via LeMat-Bulk.

Output
D(E_F) = 0.9507 states/eV/atom
energy = -0.1514 Ha/atom
total magnetization = 0.0000 μB per atom

abc: 12.1670 12.1670 13.6992
angles: 90.00 90.00 120.00
Last column: nearest neighbours and their distance in Å.
Space group R-3c (No. 167, hexagonal axes)
Unique sites:
Tb (0.0354, 0.1945, 0.3826) x36  1 Ir 2.71
Hg (0.0000, 0.3943, 0.2500) x18  8 Tb 3.16-3.29
Ir (0.0000, 0.0000, 0.0000) x6  6 Tb 2.71

---

Entry 14:
First-principles (PBE) data for a relaxed LiErAsRh crystal, as listed in Alexandria via LeMat-Bulk.

Output
D(E_F) = 0.1213 states/eV/atom
energy = -0.1990 Ha/atom
total magnetization = 0.0000 μB per atom

abc: 6.4021 6.4021 6.4021
angles: 90.00 90.00 90.00
Last column: nearest neighbours and their distance in Å.
Space group F-43m (No. 216)
Unique sites:
Li (0.0000, 0.0000, 0.0000) x4  4 As 2.77, 4 Er 2.77
Er (0.2500, 0.2500, 0.2500) x4  4 Li 2.77, 4 Rh 2.77
As (0.2500, 0.2500, 0.7500) x4  4 Li 2.77, 4 Rh 2.77
Rh (0.0000, 0.0000, 0.5000) x4  4 Er 2.77, 4 As 2.77

---

Entry 15:
First-principles (PBE) data for a relaxed ZnCo2Cl crystal, as listed in Alexandria via LeMat-Bulk.

Output
D(E_F) = 1.3065 states/eV/atom
ΔE_f (raw) = 0.436 eV per atom
energy above the most stable polymorph in this dataset = 0.358 eV per atom
energy = -0.1432 Ha/atom
total magnetization = 0.8315 μB per atom

abc: 4.2213 2.8544 4.9181
angles: 90.00 111.38 90.00
Last column: nearest neighbours and their distance in Å.
Space group P2/m (No. 10)
Unique sites:
Zn (0.0000, 0.0000, 0.0000) x1  6 Co 2.55-2.59, 4 Cl 2.84
Co (0.5000, 0.0000, 0.5000) x1  4 Cl 2.55, 2 Zn 2.59, 4 Co 2.84
Co (0.5000, 0.5000, 0.0000) x1  4 Zn 2.55, 2 Cl 2.59, 4 Co 2.84
Cl (0.0000, 0.5000, 0.5000) x1  6 Co 2.55-2.59, 4 Zn 2.84

---

Entry 16:
First-principles (PBE) data for a relaxed Sm5Sn3 crystal, as listed in Alexandria via LeMat-Bulk.

Output
D(E_F) = 0.9342 states/eV/atom
energy above the most stable polymorph in this dataset = 0.000 eV per atom
energy = -0.1896 Ha/atom
total magnetization = 0.0000 μB per atom

abc: 9.1823 9.1823 6.7383
angles: 90.00 90.00 120.00
Last column: nearest neighbours and their distance in Å.
Space group P6_3/mcm (No. 193)
Unique sites:
Sm (0.0000, 0.2403, 0.2500) x6  3 Sn 3.16-3.35
Sm (0.3333, 0.6667, 0.0000) x4  6 Sn 3.29, 2 Sm 3.37
Sn (0.0000, 0.3944, 0.7500) x6  7 Sm 3.16-3.35

---

Entry 17:
First-principles (PBE) data for a relaxed RbNpSe3 crystal, as listed in Alexandria via LeMat-Bulk.

Output
D(E_F) = 1.8555 states/eV/atom
ΔE_f (raw) = -1.071 eV per atom
energy above the most stable polymorph in this dataset = 0.000 eV per atom
energy = -0.2184 Ha/atom
total magnetization = 0.3990 μB per atom

abc: 5.4645 5.4645 5.4645
angles: 90.00 90.00 90.00
Last column: nearest neighbours and their distance in Å.
Space group Pm-3m (No. 221)
Unique sites:
Rb (0.0000, 0.0000, 0.0000) x1  12 Se 3.86
Np (0.5000, 0.5000, 0.5000) x1  6 Se 2.73
Se (0.0000, 0.5000, 0.5000) x3  2 Np 2.73

---

Entry 18:
First-principles (PBE) data for a relaxed Tb3Pr2Ho3 crystal, as listed in Alexandria via LeMat-Bulk.

Output
D(E_F) = 1.8455 states/eV/atom
energy above the most stable polymorph in this dataset = 0.138 eV per atom
energy = -0.1656 Ha/atom
total magnetization = 0.0000 μB per atom

abc: 5.6045 11.8789 16.0985
angles: 90.00 90.00 90.00
Last column: nearest neighbours and their distance in Å.
Space group Cmcm (No. 63)
Unique sites:
Tb (0.0000, 0.0413, 0.2500) x4  1 Ho 3.35, 2 Pr 3.46, 2 Tb 3.68
Tb (0.0000, 0.1142, 0.5521) x8  1 Tb 3.19, 3 Pr 3.30-3.51, 1 Ho 3.52
Pr (0.0000, 0.2807, 0.1277) x8  4 Tb 3.30-3.51, 3 Ho 3.43-3.64
Ho (0.0000, 0.2407, 0.7500) x4  3 Tb 3.35-3.52, 2 Ho 3.36, 4 Pr 3.43
Ho (0.0000, 0.4181, 0.5876) x8  2 Ho 3.36-3.43, 5 Tb 3.61-3.69, 3 Pr 3.64-3.72

---

Entry 19:
First-principles (PBE) data for a relaxed Li2PmScS4 crystal, as listed in Alexandria via LeMat-Bulk.

Output
D(E_F) = 0.0000 states/eV/atom
ΔE_f (raw) = -1.759 eV per atom
energy = -0.2090 Ha/atom
total magnetization = 0.0000 μB per atom

abc: 6.5434 3.8683 6.7043
angles: 90.00 110.00 90.00
Last column: nearest neighbours and their distance in Å.
Space group P2/m (No. 10)
Unique sites:
Li (0.0000, 0.0000, 0.0000) x1  6 S 2.65-2.66
Li (0.0000, 0.5000, 0.5000) x1  6 S 2.78-2.81
Pm (0.5000, 0.0000, 0.5000) x1  6 S 2.77-2.78
Sc (0.5000, 0.5000, 0.0000) x1  6 S 2.62-2.65
S (0.2480, 0.5000, 0.2306) x2  1 Sc 2.62, 3 Li 2.66-2.81, 2 Pm 2.77
S (0.2562, 0.0000, 0.7683) x2  2 Sc 2.65, 3 Li 2.65-2.78, 1 Pm 2.78

---

Entry 20:
First-principles (PBE) data for a relaxed Pr4NdGa2 crystal, as listed in Alexandria via LeMat-Bulk.

Output
D(E_F) = 1.8108 states/eV/atom
energy = -0.1607 Ha/atom
total magnetization = 0.0000 μB per atom

abc: 5.1227 5.1227 30.9211
angles: 90.00 90.00 120.00
Last column: nearest neighbours and their distance in Å.
Space group R-3m (No. 166, hexagonal axes)
Unique sites:
Pr (0.0000, 0.0000, 0.1034) x6  3 Ga 3.16
Pr (0.0000, 0.0000, 0.2980) x6  4 Ga 3.12-3.18
Nd (0.0000, 0.0000, 0.5000) x3  2 Ga 3.07
Ga (0.0000, 0.0000, 0.4008) x6  1 Nd 3.07, 7 Pr 3.12-3.18